This record from Alexandria via LeMat-Bulk describes a crystal of LiTa2Ni relaxed with PBEsol. The functional is SCAN.

M_tot   0.000 μB per atom
ΔE_f   0.31 eV per atom
Distance to the lowest polymorph of the same formula   0.067 eV per atom
E_tot   -150.494 eV for the cell shown

Unit cell a=3.141 b=3.141 c=5.742 alpha=90.00 beta=90.00 gamma=90.00
Space group P4/mmm (No. 123)
Asymmetric unit:
1 Li 0.000 0.000 0.000
2 Ta 0.500 0.500 0.253
3 Ni 0.000 0.000 0.500